Entry 1:
Computed, not measured: a relaxed structure of ZrTa2Os at the PBE-GGA level of DFT.

CIF file:
```
data_ZrTa2Os
_chemical_formula_sum 'Zr2 Ta4 Os2'
_space_group_name_H-M_alt 'P 1'
_space_group_IT_number 1
_cell_length_a 5.6064
_cell_length_b 9.1573
_cell_length_c 2.9588
_cell_angle_alpha 90.00
_cell_angle_beta 110.54
_cell_angle_gamma 90.00
loop_
_space_group_symop_operation_xyz
'x,y,z'
loop_
_atom_site_label
_atom_site_type_symbol
_atom_site_fract_x
_atom_site_fract_y
_atom_site_fract_z
Zr1 Zr 0.0000 0.0000 0.0000
Zr2 Zr 0.5000 0.5000 0.0000
Ta1 Ta 0.2500 0.2500 0.5000
Ta2 Ta 0.2500 0.7500 0.5000
Ta3 Ta 0.7500 0.2500 0.5000
Ta4 Ta 0.7500 0.7500 0.5000
Os1 Os 0.0000 0.5000 0.0000
Os2 Os 0.5000 0.0000 0.0000
```

Calculated values
raw total energy	-87.64	eV/cell
volume	142.25	Å³/cell
SG	C2/m, No. 12

=====

Entry 2:
Computed, not measured: a relaxed structure of ZrTaOs2 at the PBE-GGA level of DFT.

CIF file:
```
data_ZrTaOs2
_chemical_formula_sum 'Zr2 Ta2 Os4'
_space_group_name_H-M_alt 'P 1'
_space_group_IT_number 1
_cell_length_a 3.1836
_cell_length_b 4.7262
_cell_length_c 9.0717
_cell_angle_alpha 90.00
_cell_angle_beta 90.00
_cell_angle_gamma 90.00
loop_
_space_group_symop_operation_xyz
'x,y,z'
loop_
_atom_site_label
_atom_site_type_symbol
_atom_site_fract_x
_atom_site_fract_y
_atom_site_fract_z
Zr1 Zr 0.0000 0.0000 0.0000
Zr2 Zr 0.5000 0.5000 0.0000
Ta1 Ta 0.0000 0.5000 0.7219
Ta2 Ta 0.5000 0.0000 0.7219
Os1 Os 0.0000 0.0000 0.4901
Os2 Os 0.0000 0.5000 0.2471
Os3 Os 0.5000 0.0000 0.2471
Os4 Os 0.5000 0.5000 0.4901
```

Calculated values
raw total energy	-83.60	eV/cell
volume	136.50	Å³/cell
SG	Cmm2, No. 35

=====

Record order is preserved below.
D(E_F): 1.1350 1.3762 states/eV/atom